[1]
A relaxed Li3BiO crystal, computed with PBE-GGA.

Properties
polymorph energy (0 for the lowest one)	1387.9	meV/atom
formation energy from raw total energies	1.1	eV/f.u.
total energy	-2.7053	eV per atom
M_tot	2.0	μB/f.u.
D(E_F)	1.07	states/eV per atom

a b c (Å): 5.2909 5.2909 5.2909
angles (deg): 90.00 90.00 90.00
Last column: nearest neighbours and their distance in Å.
Fractional coordinates of all 5 atoms:
Bi: 0.0000 0.0000 0.0000  6 Li 2.65
O: 0.5000 0.5000 0.5000  12 Li 3.74
Li: 0.0000 0.5000 0.0000  2 Bi 2.65
Li: 0.0000 0.0000 0.5000  2 Bi 2.65
Li: 0.5000 0.0000 0.0000  2 Bi 2.65

---

[2]
A relaxed Li2BiO3 crystal, computed with PBE-GGA.

Properties
polymorph energy (0 for the lowest one)	66.7	meV/atom
formation energy from raw total energies	-8.6	eV/f.u.
total energy	-5.1979	eV per atom
M_tot	0.0	μB/f.u.

a b c (Å): 3.3772 6.4127 7.6660
angles (deg): 111.85 90.00 105.27
Last column: nearest neighbours and their distance in Å.
Fractional coordinates of all 12 atoms:
Li: 0.1858 0.3716 0.3813  2 O 1.93-2.01
Li: 0.8142 0.6284 0.6187  2 O 1.93-2.01
Li: 0.2715 0.5429 0.1420  4 O 1.99-2.12
Li: 0.7285 0.4571 0.8580  4 O 1.99-2.12
Bi: 0.5000 0.0000 0.0000  6 O 2.06-2.23
Bi: 0.0000 0.0000 0.5000  6 O 2.40
O: 0.0180 0.0359 0.1991  1 Li 2.01, 2 Bi 2.23
O: 0.9820 0.9641 0.8009  1 Li 2.01, 2 Bi 2.23
O: 0.6793 0.3585 0.0812  3 Li 1.99-2.03, 1 Bi 2.06
O: 0.3207 0.6415 0.9188  3 Li 1.99-2.03, 1 Bi 2.06
O: 0.3521 0.7041 0.4410  2 Li 1.93-2.12
O: 0.6479 0.2959 0.5590  2 Li 1.93-2.12

---

[3]
A relaxed LiBiO3 crystal, computed with PBE-GGA.

Properties
formation energy from raw total energies	-5.6	eV/f.u.
total energy	-5.2493	eV per atom
M_tot	0.0	μB/f.u.
D(E_F)	0.02	states/eV per atom

a b c (Å): 5.4276 7.1919 7.1919
angles (deg): 85.88 89.98 89.98
Last column: nearest neighbours and their distance in Å.
Fractional coordinates of all 20 atoms:
Li: 0.2500 0.1027 0.8973  6 O 2.14-2.34
Li: 0.7500 0.8973 0.1027  6 O 2.14-2.34
Li: 0.2500 0.6020 0.3980  6 O 2.12-2.36
Li: 0.7500 0.3980 0.6020  6 O 2.12-2.36
Bi: 0.8684 0.3444 0.1553  6 O 2.14-2.19
Bi: 0.6316 0.8447 0.6556  6 O 2.14-2.19
Bi: 0.1316 0.6556 0.8447  6 O 2.14-2.19
Bi: 0.3684 0.1553 0.3444  6 O 2.14-2.19
O: 0.5748 0.1639 0.0827  2 Li 2.14-2.27, 2 Bi 2.14-2.19
O: 0.9252 0.9173 0.8361  2 Li 2.14-2.27, 2 Bi 2.14-2.19
O: 0.4252 0.8361 0.9173  2 Li 2.14-2.27, 2 Bi 2.14-2.19
O: 0.0748 0.0827 0.1639  2 Li 2.14-2.27, 2 Bi 2.14-2.19
O: 0.9981 0.6302 0.1294  2 Bi 2.17, 2 Li 2.34-2.36
O: 0.5019 0.8706 0.3698  2 Bi 2.17, 2 Li 2.34-2.36
O: 0.0019 0.3698 0.8706  2 Bi 2.17, 2 Li 2.34-2.36
O: 0.4981 0.1294 0.6302  2 Bi 2.17, 2 Li 2.34-2.36
O: 0.5756 0.4161 0.3372  2 Li 2.12-2.28, 2 Bi 2.14-2.18
O: 0.9244 0.6628 0.5839  2 Li 2.12-2.28, 2 Bi 2.14-2.18
O: 0.4244 0.5839 0.6628  2 Li 2.12-2.28, 2 Bi 2.14-2.18
O: 0.0756 0.3372 0.4161  2 Li 2.12-2.28, 2 Bi 2.14-2.18

---

[4]
A relaxed Li8BiO6 crystal, computed with PBE-GGA.

Properties
polymorph energy (0 for the lowest one)	0.0	meV/atom
formation energy from raw total energies	-25.3	eV/f.u.
total energy	-4.9527	eV per atom
M_tot	0.7	μB/f.u.
D(E_F)	0.25	states/eV per atom

a b c (Å): 6.3021 6.3021 6.3021
angles (deg): 53.38 53.38 53.38
Last column: nearest neighbours and their distance in Å.
Fractional coordinates of all 15 atoms:
Li: 0.7728 0.0997 0.4929  4 O 1.91-2.04
Li: 0.9003 0.5071 0.2272  4 O 1.91-2.04
Li: 0.5071 0.2272 0.9003  4 O 1.91-2.04
Li: 0.3539 0.3539 0.3539  3 O 2.13
Li: 0.6461 0.6461 0.6461  3 O 2.13
Li: 0.4929 0.7728 0.0997  4 O 1.91-2.04
Li: 0.0997 0.4929 0.7728  4 O 1.91-2.04
Li: 0.2272 0.9003 0.5071  4 O 1.91-2.04
Bi: 0.0000 0.0000 0.0000  6 O 2.28
O: 0.8970 0.2429 0.6031  5 Li 1.91-2.13
O: 0.7571 0.3969 0.1030  5 Li 1.91-2.13
O: 0.3969 0.1030 0.7571  5 Li 1.91-2.13
O: 0.6031 0.8970 0.2429  5 Li 1.91-2.13
O: 0.2429 0.6031 0.8970  5 Li 1.91-2.13
O: 0.1030 0.7571 0.3969  5 Li 1.91-2.13

---

[5]
A relaxed Li2BiO3 crystal, computed with PBE-GGA.

Properties
polymorph energy (0 for the lowest one)	61.0	meV/atom
formation energy from raw total energies	-8.6	eV/f.u.
total energy	-5.2035	eV per atom
M_tot	0.0	μB/f.u.
D(E_F)	0.22	states/eV per atom

a b c (Å): 5.7739 5.7947 9.4741
angles (deg): 90.00 90.00 90.00
Last column: nearest neighbours and their distance in Å.
Fractional coordinates of all 24 atoms:
Li: 0.5000 0.0000 0.0000  2 O 1.88
Li: 0.0000 0.0000 0.5000  2 O 1.88
Li: 0.7500 0.2454 0.7500  3 O 1.93-1.95
Li: 0.2500 0.2546 0.7500  3 O 1.93-1.95
Li: 0.5000 0.5000 0.0000  2 O 1.88
Li: 0.0000 0.5000 0.5000  2 O 1.88
Li: 0.7500 0.7454 0.2500  3 O 1.93-1.95
Li: 0.2500 0.7546 0.2500  3 O 1.93-1.95
Bi: 0.0000 0.2500 0.1002  6 O 2.22-2.31
Bi: 0.5000 0.2500 0.3998  6 O 2.22-2.31
Bi: 0.5000 0.7500 0.6002  6 O 2.22-2.31
Bi: 0.0000 0.7500 0.8998  6 O 2.22-2.31
O: 0.2120 0.0848 0.9240  2 Li 1.88-1.93
O: 0.2880 0.0848 0.5760  2 Li 1.88-1.93
O: 0.2500 0.0911 0.2500  1 Li 1.95
O: 0.7500 0.4089 0.2500  1 Li 1.95
O: 0.7880 0.4152 0.9240  2 Li 1.88-1.93
O: 0.7120 0.4152 0.5760  2 Li 1.88-1.93
O: 0.2120 0.5848 0.0760  2 Li 1.88-1.93
O: 0.2880 0.5848 0.4240  2 Li 1.88-1.93
O: 0.2500 0.5911 0.7500  1 Li 1.95
O: 0.7500 0.9089 0.7500  1 Li 1.95
O: 0.7120 0.9152 0.4240  2 Li 1.88-1.93
O: 0.7880 0.9152 0.0760  2 Li 1.88-1.93

---

[6]
A relaxed Li2BiO3 crystal, computed with PBE-GGA.

Properties
polymorph energy (0 for the lowest one)	12.0	meV/atom
formation energy from raw total energies	-8.9	eV/f.u.
total energy	-5.2525	eV per atom
M_tot	0.0	μB/f.u.
D(E_F)	0.13	states/eV per atom

a b c (Å): 5.5424 5.5424 5.6424
angles (deg): 80.04 80.04 119.89
Last column: nearest neighbours and their distance in Å.
Fractional coordinates of all 12 atoms:
Li: 0.7593 0.2571 0.4925  6 O 2.27-2.34
Li: 0.4328 0.5844 0.4916  6 O 2.19-2.32
Li: 0.5844 0.4328 0.9916  6 O 2.19-2.32
Li: 0.2571 0.7593 0.9925  6 O 2.27-2.34
Bi: 0.1002 0.9170 0.4911  6 O 2.21-2.28
Bi: 0.9170 0.1002 0.9911  6 O 2.21-2.28
O: 0.6888 0.8431 0.7384  4 Li 2.20-2.34, 2 Bi 2.25-2.28
O: 0.8431 0.6888 0.2384  4 Li 2.20-2.34, 2 Bi 2.25-2.28
O: 0.0086 0.5084 0.7407  2 Bi 2.21, 4 Li 2.29-2.32
O: 0.3285 0.1742 0.7435  4 Li 2.19-2.33, 2 Bi 2.26-2.28
O: 0.5084 0.0086 0.2407  2 Bi 2.21, 4 Li 2.29-2.32
O: 0.1742 0.3285 0.2435  4 Li 2.19-2.33, 2 Bi 2.26-2.28